4
Lattice="-3.072 1.027 0.068 -1.498 0.442 2.839 1.555 9.686 1.161" Properties=species:S:1:pos:R:3 comment="UTiBr2, optimized geometry, DFT GGA-PBE" space_group="R-3m (166)" crystal_system=trigonal raw_formation_energy_kj_per_mol_atoms=-29.14 final_energy_ev_per_atom=-5.93 pbc="T T T"
U 0.000 0.000 0.000
Br 0.599 6.831 1.102
Br -3.615 4.324 2.966
Ti -1.508 5.578 2.034